Record 1
A plane-wave DFT calculation with PBE-GGA was carried out for an optimized crystal structure of Ho2AuSe.

Cell lengths 3.9194, 3.9194, 7.9044 Å; angles 75.65, 75.65, 60.00 degrees
With the nearest neighbours (Å) after each atom.
Sites, in units of the cell vectors:
1 Se 0.4983 0.4983 0.5050  6 Ho 2.95-3.01
2 Ho 0.0815 0.0815 0.7554  3 Au 2.90, 3 Se 2.95
3 Ho 0.2521 0.2521 0.2436  3 Au 2.94, 3 Se 3.01
4 Au 0.6680 0.6680 0.9959  6 Ho 2.90-2.94

Results
Polymorph energy (0 for the lowest one) = 0.119 eV per atom
Uncorrected formation energy = -115.6 kJ per mole of atoms
Symmetry = R3m, No. 160

---

Record 2
A plane-wave DFT calculation with PBE-GGA was carried out for an optimized crystal structure of KGd2Th.

Cell lengths 3.6264, 3.6264, 13.3069 Å; angles 82.17, 82.17, 60.00 degrees
With the nearest neighbours (Å) after each atom.
Sites, in units of the cell vectors:
1 Th 0.5000 0.5000 0.5000  6 Gd 3.47, 6 Th 3.63
2 K 0.0000 0.0000 0.0000  6 K 3.63, 2 Gd 3.81
3 Gd 0.9034 0.9034 0.2898  3 Th 3.47, 6 Gd 3.63, 1 K 3.81
4 Gd 0.0966 0.0966 0.7102  3 Th 3.47, 6 Gd 3.63, 1 K 3.81

Results
Calculated formation energy = 0.20 eV per atom
Symmetry = R-3m, No. 166